Ba3NdCu2O6: relaxed, GGA-PBE.

Output
Calculated density, Mg/m³: 5.42
Magnetic moment, μB per cell: 1.1
ΔE_f (raw), kJ/mol of formula units: -2239
Total energy, hartree per atom: -0.2195

Lattice parameters (Å, degrees): 6.291 6.291 6.970 90.00 90.00 120.00
Atoms (fractional coordinates):
Ba  0.333  0.667  0.656
Ba  0.667  0.333  0.344
Nd  0.000  0.000  0.500
O  0.833  0.167  0.707
O  0.334  0.167  0.707
Cu  0.667  0.333  0.789
Cu  0.333  0.667  0.211
O  0.167  0.334  0.293
O  0.666  0.833  0.293
Ba  0.000  0.000  0.000
O  0.167  0.833  0.293
O  0.833  0.666  0.707

Ba4Nd5Cu9O22: relaxed, GGA-PBE.

Output
Calculated density, Mg/m³: 6.80
Magnetic moment, μB per cell: 0.4
ΔE_f (raw), kJ/mol of formula units: -7079
Total energy, hartree per atom: -0.2305

Lattice parameters (Å, degrees): 3.902 11.729 12.344 71.52 90.00 90.00
Atoms (fractional coordinates):
Ba  0.500  0.727  0.815
Ba  0.500  0.273  0.185
O  0.500  0.712  0.367
Cu  0.000  0.949  0.653
O  0.000  0.555  0.840
Nd  0.500  0.949  0.152
O  0.500  0.156  0.001
Cu  0.000  0.619  0.646
Ba  0.500  0.603  0.183
O  0.500  0.500  0.000
Nd  0.500  0.163  0.508
Nd  0.500  0.051  0.848
O  0.000  0.457  0.631
O  0.000  0.793  0.623
O  0.500  0.044  0.369
O  0.000  0.207  0.377
O  0.000  0.100  0.164
Cu  0.000  0.719  0.344
Nd  0.500  0.500  0.500
O  0.000  0.791  0.163
O  0.500  0.626  0.626
O  0.000  0.209  0.837
Cu  0.000  0.500  0.000
O  0.000  0.881  0.359
O  0.000  0.445  0.160
O  0.500  0.374  0.374
Ba  0.500  0.397  0.817
Cu  0.000  0.835  0.999
O  0.000  0.119  0.641
O  0.000  0.000  0.000
O  0.500  0.288  0.633
O  0.000  0.543  0.369
Nd  0.500  0.837  0.492
O  0.500  0.956  0.631
Cu  0.000  0.165  0.001
Cu  0.000  0.381  0.354
O  0.000  0.900  0.836
Cu  0.000  0.281  0.656
O  0.500  0.844  0.999
Cu  0.000  0.051  0.347

Ba2NdCu3O7: relaxed, GGA-PBE.

Output
Calculated density, Mg/m³: 6.56
Magnetic moment, μB per cell: 0.0
ΔE_f (raw), kJ/mol of formula units: -2227
Total energy, hartree per atom: -0.2225

Lattice parameters (Å, degrees): 3.887 3.950 11.906 90.00 90.00 90.00
Atoms (fractional coordinates):
Cu  0.000  0.000  0.347
Cu  0.000  0.000  0.000
O  0.000  0.500  0.000
O  0.500  0.000  0.373
Nd  0.500  0.500  0.500
O  0.500  0.000  0.627
O  0.000  0.500  0.628
Ba  0.500  0.500  0.821
O  0.000  0.000  0.843
Cu  0.000  0.000  0.653
O  0.000  0.000  0.157
Ba  0.500  0.500  0.179
O  0.000  0.500  0.372

Ba4Nd8Cu3PtO20: relaxed, GGA-PBE.

Output
Calculated density, Mg/m³: 7.36
Magnetic moment, μB per cell: 3.0
ΔE_f (raw), kJ/mol of formula units: -8945
Total energy, hartree per atom: -0.2614

Lattice parameters (Å, degrees): 5.908 6.783 13.567 89.80 90.00 90.00
Atoms (fractional coordinates):
O  0.757  0.360  0.180
O  0.748  0.142  0.428
Ba  0.000  0.996  0.249
O  0.757  0.140  0.931
O  0.252  0.858  0.572
Nd  0.500  0.673  0.162
Cu  0.000  0.502  0.751
Pt  0.000  0.000  0.500
O  0.243  0.860  0.069
O  0.755  0.636  0.318
O  0.252  0.142  0.428
Nd  0.500  0.672  0.666
O  0.500  0.500  0.000
Cu  0.000  0.000  0.000
Nd  0.500  0.823  0.412
O  0.500  0.998  0.248
O  0.748  0.858  0.572
O  0.245  0.364  0.682
Nd  0.500  0.177  0.588
Ba  0.000  0.500  0.500
O  0.757  0.860  0.069
O  0.757  0.640  0.820
O  0.500  0.500  0.500
O  0.500  0.002  0.752
O  0.243  0.360  0.180
Ba  0.000  0.500  0.000
Ba  0.000  0.004  0.751
Nd  0.500  0.173  0.087
O  0.243  0.640  0.820
O  0.245  0.636  0.318
Nd  0.500  0.327  0.838
Cu  0.000  0.498  0.249
Nd  0.500  0.827  0.913
O  0.243  0.140  0.931
O  0.755  0.364  0.682
Nd  0.500  0.328  0.334

BaSrNdTlCu2O7: relaxed, GGA-PBE.

Output
Calculated density, Mg/m³: 7.05
Magnetic moment, μB per cell: 0.0
ΔE_f (raw), kJ/mol of formula units: -2284
Total energy, hartree per atom: -0.2186

Lattice parameters (Å, degrees): 3.888 3.923 12.553 89.87 90.00 90.00
Atoms (fractional coordinates):
O  0.500  0.988  0.373
O  0.000  0.487  0.618
O  0.000  0.999  0.839
Ba  0.500  0.486  0.798
Tl  0.000  0.925  0.008
O  0.000  0.490  0.371
Cu  0.000  0.990  0.354
O  0.000  0.023  0.176
O  0.500  0.584  0.012
O  0.500  0.987  0.617
Nd  0.500  0.488  0.495
Cu  0.000  0.987  0.631
Sr  0.500  0.484  0.208

Ba6Nd2YCu12O24: relaxed, GGA-PBE.

Output
Calculated density, Mg/m³: 6.13
Magnetic moment, μB per cell: 0.0
ΔE_f (raw), kJ/mol of formula units: -7144
Total energy, hartree per atom: -0.2203

Lattice parameters (Å, degrees): 3.919 11.724 13.974 81.96 90.00 90.00
Atoms (fractional coordinates):
Cu  0.000  0.904  0.575
Cu  0.000  0.763  0.425
Cu  0.000  0.186  0.874
O  0.000  0.686  0.890
O  0.000  0.260  0.438
O  0.500  0.179  0.893
O  0.000  0.740  0.562
Cu  0.000  0.429  0.425
O  0.000  0.785  0.291
Y  0.500  0.000  0.000
O  0.000  0.073  0.562
O  0.000  0.594  0.438
Ba  0.500  0.713  0.727
O  0.000  0.549  0.708
Ba  0.500  0.287  0.273
O  0.500  0.144  0.107
Ba  0.500  0.622  0.273
Cu  0.000  0.144  0.126
O  0.500  0.482  0.110
Nd  0.500  0.332  0.000
Cu  0.000  0.096  0.425
O  0.000  0.406  0.562
O  0.000  0.017  0.897
Cu  0.000  0.237  0.575
O  0.500  0.518  0.890
Ba  0.500  0.045  0.728
O  0.000  0.451  0.292
Cu  0.000  0.571  0.575
O  0.500  0.856  0.893
O  0.000  0.927  0.438
O  0.000  0.983  0.103
O  0.000  0.650  0.110
O  0.000  0.215  0.709
Cu  0.000  0.479  0.129
Ba  0.500  0.955  0.272
O  0.000  0.350  0.890
Cu  0.000  0.856  0.874
O  0.000  0.117  0.291
Nd  0.500  0.668  0.000
Ba  0.500  0.378  0.727
O  0.000  0.314  0.110
O  0.500  0.821  0.107
O  0.000  0.883  0.709
Cu  0.000  0.521  0.871
Cu  0.000  0.814  0.126

Ba2NdCu2S4: relaxed, GGA-PBE.

Output
Calculated density, Mg/m³: 5.32
Magnetic moment, μB per cell: 0.0
ΔE_f (raw), kJ/mol of formula units: -1179
Total energy, hartree per atom: -0.1860

Lattice parameters (Å, degrees): 4.017 7.424 7.784 109.47 104.95 90.00
Atoms (fractional coordinates):
S  0.528  0.751  0.057
S  0.796  0.816  0.593
Nd  0.000  0.000  0.000
S  0.472  0.249  0.943
S  0.204  0.184  0.407
Ba  0.135  0.568  0.269
Ba  0.865  0.432  0.731
Cu  0.319  0.006  0.639
Cu  0.681  0.994  0.361

BaNd2CuSe4: relaxed, GGA-PBE.

Output
Calculated density, Mg/m³: 6.05
Magnetic moment, μB per cell: 0.0
ΔE_f (raw), kJ/mol of formula units: -1250
Total energy, hartree per atom: -0.1950

Lattice parameters (Å, degrees): 4.239 7.447 14.614 90.00 90.00 106.54
Atoms (fractional coordinates):
Cu  0.156  0.312  0.250
Cu  0.844  0.688  0.750
Nd  0.630  0.259  0.442
Se  0.269  0.539  0.380
Se  0.000  0.000  0.500
Se  0.437  0.873  0.750
Ba  0.114  0.227  0.750
Se  0.731  0.461  0.880
Ba  0.886  0.773  0.250
Nd  0.370  0.741  0.558
Se  0.000  0.000  0.000
Se  0.731  0.461  0.620
Nd  0.630  0.259  0.058
Se  0.563  0.127  0.250
Nd  0.370  0.741  0.942
Se  0.269  0.539  0.120

BaNdCu2Te4: relaxed, GGA-PBE.

Output
Calculated density, Mg/m³: 5.88
Magnetic moment, μB per cell: 0.0
ΔE_f (raw), kJ/mol of formula units: -561
Total energy, hartree per atom: -0.1528

Lattice parameters (Å, degrees): 7.017 7.026 7.026 72.34 60.04 60.04
Atoms (fractional coordinates):
Te  0.959  0.501  0.078
Te  0.041  0.922  0.499
Cu  0.144  0.356  0.356
Nd  0.500  0.500  0.500
Ba  0.000  0.000  0.000
Te  0.462  0.078  0.501
Cu  0.856  0.644  0.644
Te  0.538  0.499  0.922

BaCuNi2: relaxed, GGA-PBE.

Output
Calculated density, Mg/m³: 5.86
Magnetic moment, μB per cell: 1.5
Total energy, hartree per atom: -0.1550

Lattice parameters (Å, degrees): 4.674 4.674 8.895 74.77 74.77 90.00
Atoms (fractional coordinates):
Ni  0.375  0.625  0.750
Ba  0.000  0.000  0.000
Ba  0.750  0.250  0.500
Cu  0.500  0.500  0.000
Cu  0.250  0.750  0.500
Ni  0.875  0.625  0.750
Ni  0.375  0.125  0.250
Ni  0.375  0.625  0.250

BaCu2Ni: relaxed, GGA-PBE.

Output
Calculated density, Mg/m³: 7.19
Magnetic moment, μB per cell: 0.4
Total energy, hartree per atom: -0.1340

Lattice parameters (Å, degrees): 3.251 3.251 7.063 90.00 90.00 90.00
Atoms (fractional coordinates):
Cu  0.000  0.000  0.083
Ba  0.500  0.500  0.750
Ni  0.500  0.500  0.250
Cu  0.000  0.000  0.417

BaCuNi2: relaxed, GGA-PBE.

Output
Calculated density, Mg/m³: 7.14
Magnetic moment, μB per cell: 0.0
Total energy, hartree per atom: -0.1392

Lattice parameters (Å, degrees): 4.712 4.712 4.712 60.00 60.00 60.00
Atoms (fractional coordinates):
Ba  0.500  0.500  0.500
Cu  0.000  0.000  0.000
Ni  0.750  0.750  0.750
Ni  0.250  0.250  0.250

Ba4Cu2Ni: relaxed, GGA-PBE.

Output
Calculated density, Mg/m³: 4.26
Magnetic moment, μB per cell: 0.0
Total energy, hartree per atom: -0.1086

Lattice parameters (Å, degrees): 6.169 6.169 8.706 110.75 110.75 90.00
Atoms (fractional coordinates):
Cu  0.582  0.582  0.163
Ba  0.204  0.204  0.408
Ba  0.796  0.796  0.592
Ba  0.000  0.500  0.000
Ni  0.000  0.000  0.000
Cu  0.418  0.418  0.837
Ba  0.500  0.000  0.000

BaCu2Ni: relaxed, GGA-PBE.

Output
Calculated density, Mg/m³: 6.33
Magnetic moment, μB per cell: 0.0
Total energy, hartree per atom: -0.1469

Lattice parameters (Å, degrees): 4.245 4.245 5.945 69.36 69.36 59.94
Atoms (fractional coordinates):
Cu  0.936  0.936  0.193
Cu  0.248  0.248  0.257
Ba  0.750  0.750  0.748
Ni  0.566  0.566  0.302

BaCuNi2: relaxed, GGA-PBE.

Output
Calculated density, Mg/m³: 6.95
Magnetic moment, μB per cell: 0.0
Total energy, hartree per atom: -0.1377

Lattice parameters (Å, degrees): 4.756 4.756 4.756 60.00 60.00 60.00
Atoms (fractional coordinates):
Cu  0.750  0.750  0.750
Ba  0.500  0.500  0.500
Ni  0.000  0.000  0.000
Ni  0.250  0.250  0.250

BaCu2Ni: relaxed, GGA-PBE.

Output
Calculated density, Mg/m³: 5.98
Magnetic moment, μB per cell: 0.0
Total energy, hartree per atom: -0.1341

Lattice parameters (Å, degrees): 5.137 5.137 5.137 131.75 111.25 88.38
Atoms (fractional coordinates):
Ni  0.409  0.409  0.000
Ba  0.749  0.249  0.500
Cu  0.259  0.759  0.500
Cu  0.083  0.083  0.000

BaCuNi3: relaxed, GGA-PBE.

Output
Calculated density, Mg/m³: 5.32
Magnetic moment, μB per cell: 0.0
Offset from the most stable computed form, meV per atom: 1814
Total energy, hartree per atom: -0.0994

Lattice parameters (Å, degrees): 4.900 4.900 4.900 90.00 90.00 90.00
Atoms (fractional coordinates):
Ni  0.000  0.500  0.000
Ba  0.000  0.000  0.000
Ni  0.000  0.000  0.500
Cu  0.500  0.500  0.500
Ni  0.500  0.000  0.000

Ba2CuNi: relaxed, GGA-PBE.

Output
Calculated density, Mg/m³: 6.33
Magnetic moment, μB per cell: 0.0
Total energy, hartree per atom: -0.1113

Lattice parameters (Å, degrees): 5.279 5.279 5.279 60.00 60.00 60.00
Atoms (fractional coordinates):
Cu  0.500  0.500  0.500
Ni  0.750  0.750  0.750
Ba  0.250  0.250  0.250
Ba  0.000  0.000  0.000

Ba2CuNi: relaxed, GGA-PBE.

Output
Calculated density, Mg/m³: 5.13
Magnetic moment, μB per cell: 0.0
Total energy, hartree per atom: -0.1251

Lattice parameters (Å, degrees): 4.485 4.475 6.786 70.73 90.03 90.03
Atoms (fractional coordinates):
Ba  0.375  0.261  0.479
Ba  0.875  0.993  0.013
Cu  0.375  0.581  0.837
Ni  0.874  0.665  0.671

BaCuNi2: relaxed, GGA-PBE.

Output
Calculated density, Mg/m³: 7.23
Magnetic moment, μB per cell: 0.0
Total energy, hartree per atom: -0.1400

Lattice parameters (Å, degrees): 4.950 4.950 4.950 128.01 128.01 76.60
Atoms (fractional coordinates):
Ba  0.250  0.750  0.500
Ni  0.000  0.000  0.000
Cu  0.750  0.250  0.500
Ni  0.500  0.500  0.000